The following is a GGA-PBE calculation of an optimized crystal structure of NdHo4In5, from Alexandria.

- Formation energy from the elements: -463 meV/atom
- Final energy: -4.14 eV per atom

a b c (Å): 3.761 3.761 18.967
angles (deg): 90.00 90.00 90.00
Space group P4/mmm (No. 123)
Inequivalent atoms, fractional coordinates:
1 Nd 0.000 0.000 0.000 (multiplicity 1)
2 Ho 0.000 0.000 0.206 (multiplicity 2)
3 Ho 0.000 0.000 0.402 (multiplicity 2)
4 In 0.500 0.500 0.108 (multiplicity 2)
5 In 0.500 0.500 0.304 (multiplicity 2)
6 In 0.500 0.500 0.500 (multiplicity 1)

The following is a GGA-PBE calculation of an optimized crystal structure of BaBBr2, from Alexandria.

- Final energy: -3.08 eV per atom
- Formation energy (no corrections): -0.093 eV/atom

a b c (Å): 5.475 5.475 18.928
angles (deg): 90.00 90.00 90.00
Space group I-42d (No. 122)
Inequivalent atoms, fractional coordinates:
1 Ba 0.000 0.000 0.000 (multiplicity 4)
2 B 0.000 0.000 0.500 (multiplicity 4)
3 Br 0.209 0.250 0.625 (multiplicity 8)

The following is a GGA-PBE calculation of an optimized crystal structure of Pu4Np, from Alexandria.

- Formation energy from the elements: 440 meV/atom
- Final energy: -13.61 eV per atom

a b c (Å): 4.905 4.905 4.905
angles (deg): 90.00 90.00 90.00
Space group Pm-3m (No. 221)
Inequivalent atoms, fractional coordinates:
1 Pu 0.000 0.000 0.000 (multiplicity 1)
2 Pu 0.000 0.500 0.500 (multiplicity 3)
3 Np 0.500 0.500 0.500 (multiplicity 1)

The following is a GGA-PBE calculation of an optimized crystal structure of HoB6N6, from Alexandria.

- Final energy: -7.51 eV per atom
- Formation energy (no corrections): -0.230 eV/atom

a b c (Å): 4.644 4.644 4.644
angles (deg): 90.00 90.00 90.00
Space group Pm-3 (No. 200)
Inequivalent atoms, fractional coordinates:
1 Ho 0.000 0.000 0.000 (multiplicity 1)
2 B 0.000 0.238 0.500 (multiplicity 6)
3 N 0.000 0.500 0.249 (multiplicity 6)

The following is a GGA-PBE calculation of an optimized crystal structure of AcZn2Ir, from Alexandria.

- Formation energy from the elements: -448 meV/atom
- Final energy: -4.33 eV per atom

a b c (Å): 15.703 7.445 5.852
angles (deg): 90.00 90.00 90.00
Space group Pnma (No. 62)
Inequivalent atoms, fractional coordinates:
1 Ac 0.098 0.250 0.236 (multiplicity 4)
2 Ac 0.139 0.750 0.035 (multiplicity 4)
3 Zn 0.049 0.065 0.716 (multiplicity 8)
4 Zn 0.207 0.552 0.554 (multiplicity 8)
5 Ir 0.069 0.750 0.504 (multiplicity 4)
6 Ir 0.194 0.250 0.796 (multiplicity 4)

The following is a GGA-PBE calculation of an optimized crystal structure of HfNiAg2Au, from Alexandria.

- Formation energy from the elements: 1141 meV/atom
- Final energy: -3.80 eV per atom

a b c (Å): 5.056 5.056 5.056
angles (deg): 90.00 90.00 90.00
Space group P4/mmm (No. 123)
Inequivalent atoms, fractional coordinates:
1 Hf 0.000 0.000 0.000 (multiplicity 1)
2 Ni 0.500 0.500 0.000 (multiplicity 1)
3 Ag 0.000 0.500 0.500 (multiplicity 2)
4 Au 0.000 0.000 0.500 (multiplicity 1)

The following is a GGA-PBE calculation of an optimized crystal structure of SiSeBr, from Alexandria.

- Final energy: -3.50 eV per atom
- Formation energy (no corrections): 0.026 eV/atom

a b c (Å): 3.411 8.923 13.857
angles (deg): 90.00 90.00 90.00
Space group Fmm2 (No. 42)
Inequivalent atoms, fractional coordinates:
1 Si 0.000 0.000 0.000 (multiplicity 4)
2 Se 0.000 0.000 0.384 (multiplicity 4)
3 Br 0.000 0.000 0.647 (multiplicity 4)

Question: Which value of final energy does entry 7 give?
Answer: -3.50 eV per atom

Question: What is the final energy in the seventh record?
Answer: -3.50 eV per atom

Question: Which value of final energy does entry 4 give?
Answer: -7.51 eV per atom